SbI, optimized geometry, DFT PBE; V = 41.073 Å³ per atom; SG = P2_1/m; energy relative to the elements, uncorrected = 0.035 eV per atom; crystal system = monoclinic; magnetization = 0.000 μB/atom
1.0
4.2987 0.0000 0.0000
0.0000 4.1754 0.0000
-1.5892 0.0000 9.1535
Sb I
2 2
direct
0.2274 0.2500 0.4446
0.7726 0.7500 0.5554
0.1281 0.7500 0.1934
0.8719 0.2500 0.8066

=====

SbI, optimized geometry, DFT PBE; V = 47.639 Å³ per atom; SG = P6_3/m; energy relative to the elements, uncorrected = -0.023 eV per atom; crystal system = hexagonal; magnetization = 0.000 μB/atom
1.0
12.3063 0.0000 0.0000
-6.1532 10.6576 0.0000
0.0000 0.0000 4.3587
Sb I
6 6
direct
0.0748 0.8645 0.2500
0.1355 0.2102 0.2500
0.2102 0.0748 0.7500
0.7897 0.9252 0.2500
0.8645 0.7897 0.7500
0.9252 0.1355 0.7500
0.1710 0.7018 0.2500
0.2982 0.4692 0.2500
0.4692 0.1710 0.7500
0.5308 0.8290 0.2500
0.7018 0.5308 0.7500
0.8290 0.2982 0.7500

=====

Sb4I, optimized geometry, DFT PBE; V = 37.825 Å³ per atom; SG = Pm-3m; energy relative to the elements, uncorrected = 1.134 eV per atom; crystal system = cubic; magnetization = 0.000 μB/atom
1.0
5.7401 0.0000 0.0000
0.0000 5.7401 0.0000
0.0000 0.0000 5.7401
Sb I
4 1
direct
0.0000 0.0000 0.0000
0.0000 0.5000 0.5000
0.5000 0.0000 0.5000
0.5000 0.5000 0.0000
0.5000 0.5000 0.5000

=====

Sc2SbI3, optimized geometry, DFT PBE; V = 39.636 Å³ per atom; SG = C2/m; energy relative to the elements, uncorrected = -0.989 eV per atom; crystal system = monoclinic; magnetization = 0.000 μB/atom
1.0
10.6528 -2.0613 0.0000
10.6528 2.0613 0.0000
-10.2663 0.0000 10.8303
Sc Sb I
4 2 6
direct
0.0910 0.0910 0.2136
0.3678 0.3678 0.0654
0.6322 0.6322 0.9346
0.9090 0.9090 0.7864
0.0917 0.0917 0.0195
0.9083 0.9083 0.9805
0.1789 0.1789 0.8375
0.2745 0.2745 0.6661
0.4584 0.4584 0.6880
0.5416 0.5416 0.3120
0.7255 0.7255 0.3339
0.8211 0.8211 0.1625

=====

ScSb2I, optimized geometry, DFT PBE; V = 29.619 Å³ per atom; SG = I-42d; energy relative to the elements, uncorrected = -0.174 eV per atom; crystal system = tetragonal; magnetization = 0.000 μB/atom
1.0
-2.2088 2.2088 12.1421
2.2088 -2.2088 12.1421
2.2088 2.2088 -12.1421
Sc Sb I
2 4 2
direct
0.0000 0.0000 0.0000
0.7500 0.2500 0.5000
0.0812 0.6250 0.9562
0.3750 0.3312 0.4562
0.6688 0.1250 0.0438
0.8750 0.9188 0.5438
0.2500 0.7500 0.5000
0.5000 0.5000 0.0000

=====

ScSb3I, optimized geometry, DFT PBE; V = 33.771 Å³ per atom; SG = Pm-3m; energy relative to the elements, uncorrected = 0.156 eV per atom; crystal system = cubic; magnetization = 0.000 μB/atom
1.0
5.5272 0.0000 0.0000
0.0000 5.5272 0.0000
0.0000 0.0000 5.5272
Sc Sb I
1 3 1
direct
0.0000 0.0000 0.0000
0.0000 0.0000 0.5000
0.0000 0.5000 0.0000
0.5000 0.0000 0.0000
0.5000 0.5000 0.5000

=====

Number 6 is which compound? ScSb3I